The following is a DFT calculation (PBE-GGA) of an optimized crystal structure of Be2CdTeO8.

Cell lengths 5.3362, 5.3362, 6.1955 Å; angles 90.00, 90.00, 120.00 degrees
Sites, in units of the cell vectors:
1 Be 0.6667 0.3333 0.2392
2 Be 0.3333 0.6667 0.7608
3 Cd 0.0000 0.0000 0.5000
4 Te 0.0000 0.0000 0.0000
5 O 0.8375 0.1625 0.1959
6 O 0.8375 0.6750 0.1959
7 O 0.3250 0.1625 0.1959
8 O 0.6750 0.8375 0.8041
9 O 0.3333 0.6667 0.4929
10 O 0.6667 0.3333 0.5071
11 O 0.1625 0.8375 0.8041
12 O 0.1625 0.3250 0.8041

Summary:
**Uncorrected formation energy**: -920 meV per atom